Computed, not measured: crystalline AcTbTh at its relaxed geometry at the GGA-PBE level of DFT.

a b c (Å): 8.270 8.270 8.270
angles (deg): 154.04 154.04 37.05
Atoms (fractional coordinates):
Ac (0.000, 0.000, 0.000)
Tb (0.684, 0.684, 0.000)
Th (0.334, 0.334, 0.000)

Values from the calculation:
energy relative to the elements = 0.085 eV per atom
symmetry = I4mm
Fermi-level density of states = 1.606 states/eV per atom
uncorrected energy = -5.301 eV/atom